A | Density functional theory data (PBE-GGA) for a geometry-optimized CsSrGa3 structure.

Lattice parameters (Å, degrees): 6.118 6.118 6.118 90.00 90.00 90.00
Site moments in Bohr magnetons follow the coordinates.
Positions (direct):
Cs: 0.500 0.500 0.500  0.01
Sr: 0.000 0.000 0.000  0.07
Ga: 0.000 0.500 0.000  0.10
Ga: 0.000 0.000 0.500  0.08
Ga: 0.500 0.000 0.000  0.09

Results
Crystal system: cubic

B | Density functional theory data (PBE-GGA) for a geometry-optimized CsSrGa3 structure.

Lattice parameters (Å, degrees): 5.916 5.916 5.916 90.00 90.00 90.00
Positions (direct):
Cs: 0.000 0.000 0.000
Sr: 0.500 0.500 0.500
Ga: 0.000 0.500 0.000
Ga: 0.000 0.000 0.500
Ga: 0.500 0.000 0.000

Results
Crystal system: cubic

The structure with the greatest stability is A.

A | Density functional theory data (PBE-GGA) for a geometry-optimized CsSr3Ga structure.

Lattice parameters (Å, degrees): 6.488 6.488 6.488 90.00 90.00 90.00
Positions (direct):
Cs: 0.500 0.500 0.500
Sr: 0.000 0.500 0.000
Sr: 0.000 0.000 0.500
Sr: 0.500 0.000 0.000
Ga: 0.000 0.000 0.000

Results
Crystal system: cubic

B | Density functional theory data (PBE-GGA) for a geometry-optimized CsSr3Ga structure.

Lattice parameters (Å, degrees): 6.243 6.243 6.243 90.00 90.00 90.00
Positions (direct):
Cs: 0.000 0.000 0.000
Sr: 0.000 0.500 0.000
Sr: 0.000 0.000 0.500
Sr: 0.500 0.000 0.000
Ga: 0.500 0.500 0.500

Results
Crystal system: cubic

The structure with the greatest stability is A.

A | Density functional theory data (PBE-GGA) for a geometry-optimized CsTa3Ga structure.

Lattice parameters (Å, degrees): 4.989 4.989 4.989 90.00 90.00 90.00
Positions (direct):
Cs: 0.500 0.500 0.500
Ga: 0.000 0.000 0.000
Ta: 0.000 0.500 0.000
Ta: 0.000 0.000 0.500
Ta: 0.500 0.000 0.000

Results
Crystal system: cubic

B | Density functional theory data (PBE-GGA) for a geometry-optimized CsTa3Ga structure.

Lattice parameters (Å, degrees): 5.034 5.034 5.034 90.00 90.00 90.00
Positions (direct):
Cs: 0.000 0.000 0.000
Ga: 0.500 0.500 0.500
Ta: 0.000 0.500 0.000
Ta: 0.000 0.000 0.500
Ta: 0.500 0.000 0.000

Results
Crystal system: cubic

The structure with the greatest stability is A.

A | Density functional theory data (PBE-GGA) for a geometry-optimized Cs2GaTc structure.

Lattice parameters (Å, degrees): 5.783 5.783 5.783 60.00 60.00 60.00
Site moments in Bohr magnetons follow the coordinates.
Positions (direct):
Cs: 0.250 0.250 0.250  -0.02
Cs: 0.750 0.750 0.750  -0.02
Tc: 0.500 0.500 0.500  2.93
Ga: 0.000 0.000 0.000  -0.23

Results
Crystal system: cubic

B | Density functional theory data (PBE-GGA) for a geometry-optimized Cs2GaTc structure.

Lattice parameters (Å, degrees): 12.394 12.394 9.099 47.08 47.08 90.00
Positions (direct):
Cs: 0.871 0.125 0.250
Cs: 0.879 0.625 0.250
Cs: 0.375 0.129 0.750
Cs: 0.875 0.121 0.750
Tc: 0.000 0.000 0.000
Tc: 0.750 0.250 0.500
Ga: 0.500 0.500 0.000
Ga: 0.250 0.750 0.500

Results
Crystal system: tetragonal

The structure with the greatest stability is B.

A | Density functional theory data (PBE-GGA) for a geometry-optimized Cs3GaTe3 structure.

Lattice parameters (Å, degrees): 7.723 11.372 11.372 119.84 90.00 90.00
Positions (direct):
Cs: 0.250 0.625 0.812
Cs: 0.250 0.187 0.375
Cs: 0.250 0.187 0.813
Cs: 0.750 0.375 0.188
Cs: 0.750 0.813 0.625
Cs: 0.750 0.813 0.187
Ga: 0.750 0.333 0.667
Ga: 0.250 0.667 0.333
Te: 0.750 0.593 0.796
Te: 0.750 0.203 0.407
Te: 0.750 0.203 0.797
Te: 0.250 0.407 0.204
Te: 0.250 0.797 0.593
Te: 0.250 0.797 0.203

Results
Crystal system: orthorhombic

B | Density functional theory data (PBE-GGA) for a geometry-optimized Cs3GaTe3 structure.

Lattice parameters (Å, degrees): 9.079 9.221 9.221 112.06 97.28 97.28
Positions (direct):
Cs: 0.348 0.610 0.610
Cs: 0.500 0.177 0.823
Cs: 0.500 0.823 0.177
Cs: 0.000 0.242 0.758
Cs: 0.000 0.758 0.242
Cs: 0.652 0.390 0.390
Ga: 0.849 0.837 0.837
Ga: 0.151 0.163 0.163
Te: 0.159 0.900 0.900
Te: 0.724 0.851 0.569
Te: 0.724 0.569 0.851
Te: 0.276 0.149 0.431
Te: 0.276 0.431 0.149
Te: 0.841 0.100 0.100

Results
Crystal system: monoclinic

The structure with the greatest stability is B.

A | Density functional theory data (PBE-GGA) for a geometry-optimized CsTiGa3 structure.

Lattice parameters (Å, degrees): 5.802 5.802 5.802 90.00 90.00 90.00
Site moments in Bohr magnetons follow the coordinates.
Positions (direct):
Cs: 0.000 0.000 0.000  0.03
Ga: 0.000 0.500 0.000  0.01
Ga: 0.000 0.000 0.500  -0.02
Ga: 0.500 0.000 0.000  0.09
Ti: 0.500 0.500 0.500  -1.98

Results
Crystal system: cubic

B | Density functional theory data (PBE-GGA) for a geometry-optimized CsTiGa3 structure.

Lattice parameters (Å, degrees): 5.265 5.265 5.265 90.00 90.00 90.00
Site moments in Bohr magnetons follow the coordinates.
Positions (direct):
Cs: 0.500 0.500 0.500  0.00
Ga: 0.000 0.500 0.000  0.09
Ga: 0.000 0.000 0.500  0.05
Ga: 0.500 0.000 0.000  0.11
Ti: 0.000 0.000 0.000  0.97

Results
Crystal system: cubic

The structure with the greatest stability is B.

A | Density functional theory data (PBE-GGA) for a geometry-optimized CsTlGa structure.

Lattice parameters (Å, degrees): 6.245 4.839 4.839 120.00 90.00 90.00
Positions (direct):
Cs: 0.667 0.667 0.333
Tl: 0.167 0.333 0.667
Ga: 0.166 0.000 0.000

Results
Crystal system: trigonal

B | Density functional theory data (PBE-GGA) for a geometry-optimized CsTlGa structure.

Lattice parameters (Å, degrees): 5.291 4.660 19.769 90.00 90.00 90.00
Positions (direct):
Cs: 0.174 0.002 0.586
Cs: 0.674 0.498 0.414
Cs: 0.826 0.502 0.914
Cs: 0.326 0.998 0.086
Tl: 0.864 0.498 0.175
Tl: 0.364 0.002 0.825
Tl: 0.136 0.998 0.325
Tl: 0.636 0.502 0.675
Ga: 0.147 0.502 0.748
Ga: 0.647 0.998 0.252
Ga: 0.853 0.002 0.752
Ga: 0.353 0.498 0.248

Results
Crystal system: orthorhombic

The structure with the greatest stability is B.

A | Density functional theory data (PBE-GGA) for a geometry-optimized CsTlGa structure.

Lattice parameters (Å, degrees): 4.860 6.949 7.654 75.57 71.49 69.53
Positions (direct):
Cs: 0.417 0.798 0.367
Cs: 0.583 0.202 0.633
Ga: 0.116 0.811 0.958
Ga: 0.884 0.189 0.042
Tl: 0.782 0.602 0.834
Tl: 0.218 0.398 0.166

Results
Crystal system: monoclinic

B | Density functional theory data (PBE-GGA) for a geometry-optimized CsTlGa structure.

Lattice parameters (Å, degrees): 4.026 4.026 7.545 105.47 105.47 90.00
Positions (direct):
Cs: 0.003 0.003 0.005
Tl: 0.288 0.288 0.577
Ga: 0.709 0.709 0.418

Results
Crystal system: tetragonal

The structure with the greatest stability is A.